1.
The following is a DFT calculation (SCAN) of a crystal of MgScSe3 relaxed with PBEsol.

Geometry as POSCAR:
```
MgScSe3
1.0
4.898 0.000 0.000
0.000 4.898 0.000
0.000 0.000 4.898
Mg Sc Se
1 1 3
Direct
0.000 0.000 0.000 Mg
0.500 0.500 0.500 Sc
0.000 0.000 0.500 Se
0.000 0.500 0.000 Se
0.500 0.000 0.000 Se
```

Results
The calculation puts the density of states at the Fermi level at 4.8 states/eV/cell. The value obtained for the total energy is -81.8 eV/cell. As for the space group: Pm-3m (221). The value obtained for the uncorrected formation energy is -477 meV per atom.

2.
The following is a DFT calculation (SCAN) of a crystal of MgScSi2 relaxed with PBEsol.

Geometry as POSCAR:
```
MgScSi2
1.0
3.079 0.000 0.000
-1.540 2.667 0.000
0.000 0.000 26.767
Mg Sc Si
3 3 6
Direct
0.000 0.000 0.000 Mg
0.333 0.667 0.667 Mg
0.667 0.333 0.333 Mg
0.000 0.000 0.766 Sc
0.333 0.667 0.433 Sc
0.667 0.333 0.100 Sc
0.000 0.000 0.250 Si
0.000 0.000 0.515 Si
0.333 0.667 0.181 Si
0.333 0.667 0.916 Si
0.667 0.333 0.583 Si
0.667 0.333 0.848 Si
```

Results
The calculation puts the density of states at the Fermi level at 6.3 states/eV/cell. The value obtained for the total energy is -115.6 eV/cell. As for the space group: R3m (160). The value obtained for the uncorrected formation energy is 180 meV per atom.

3.
The following is a DFT calculation (SCAN) of a crystal of MgScSi3 relaxed with PBEsol.

Geometry as POSCAR:
```
MgScSi3
1.0
4.744 0.000 0.000
0.000 4.744 0.000
0.000 0.000 4.744
Mg Sc Si
1 1 3
Direct
0.000 0.000 0.000 Mg
0.500 0.500 0.500 Sc
0.000 0.000 0.500 Si
0.000 0.500 0.000 Si
0.500 0.000 0.000 Si
```

Results
The calculation puts the density of states at the Fermi level at 2.4 states/eV/cell. The value obtained for the total energy is -44.7 eV/cell. As for the space group: Pm-3m (221). The value obtained for the uncorrected formation energy is 907 meV per atom.

4.
The following is a DFT calculation (SCAN) of a crystal of MgSc3Si relaxed with PBEsol.

Geometry as POSCAR:
```
MgSc3Si
1.0
5.032 0.000 0.000
0.000 5.032 0.000
0.000 0.000 5.032
Mg Sc Si
1 3 1
Direct
0.000 0.000 0.000 Mg
0.000 0.500 0.500 Sc
0.500 0.000 0.500 Sc
0.500 0.500 0.000 Sc
0.500 0.500 0.500 Si
```

Results
The calculation puts the density of states at the Fermi level at 6.3 states/eV/cell. The value obtained for the total energy is -58.2 eV/cell. As for the space group: Pm-3m (221). The value obtained for the uncorrected formation energy is -90 meV per atom.